A plane-wave DFT calculation with PBE-GGA was carried out for a geometry-optimized LaYAs structure.

Calculated values
density of states at the Fermi level = 4.6 states/eV/cell
energy relative to the elements = -0.925 eV/atom

a = 4.0759 Å, b = 6.1518 Å, c = 7.7330 Å
α = 113.44°, β = 105.28°, γ = 90.00°
Fractional coordinates of all 6 atoms:
1 As 0.8521 0.3521 0.7042
2 As 0.1479 0.6479 0.2958
3 La 0.5000 0.7362 0.0000
4 La 0.5000 0.2638 0.0000
5 Y 0.2040 0.2040 0.4079
6 Y 0.7960 0.7960 0.5921

A plane-wave DFT calculation with PBE-GGA was carried out for a geometry-optimized Mg2TeOs structure.

Calculated values
density of states at the Fermi level = 3.3 states/eV/cell
formation energy (no corrections) = 0.30 eV/atom

a = 4.7079 Å, b = 4.7079 Å, c = 4.7079 Å
α = 60.00°, β = 60.00°, γ = 60.00°
Fractional coordinates of all 4 atoms:
1 Mg 0.0000 0.0000 0.0000
2 Mg 0.2500 0.2500 0.2500
3 Os 0.5000 0.5000 0.5000
4 Te 0.7500 0.7500 0.7500